[1]
This record from Alexandria describes crystalline HgHS at its relaxed geometry. The functional is PBE.

Computed properties:
Symmetry   P1, No. 1
Final energy   -2.688 eV/atom
Relative energy among the computed polymorphs   21.7 meV/atom

a b c (Å): 4.223 5.880 7.031
angles (deg): 70.23 81.57 81.21
Sites, in units of the cell vectors:
Hg 0.000 0.000 0.000
Hg 0.068 0.517 0.541
H 0.495 0.617 0.974
H 0.829 0.232 0.301
S 0.466 0.840 0.828
S 0.610 0.184 0.201


[2]
This record from Alexandria describes crystalline SrZn2Cl at its relaxed geometry. The functional is PBE.

Computed properties:
Symmetry   C2/m, No. 12
E_form (uncorrected)   -0.6625 eV/atom
Final energy   -2.182 eV/atom
Relative energy among the computed polymorphs   75.5 meV/atom

a b c (Å): 6.901 6.901 4.013
angles (deg): 106.51 106.51 131.26
Sites, in units of the cell vectors:
Sr 0.000 0.000 0.000
Zn 0.000 0.500 0.500
Zn 0.500 0.000 0.500
Cl 0.500 0.500 0.000


[3]
This record from Alexandria describes crystalline CaPuTlHg at its relaxed geometry. The functional is PBE.

Computed properties:
Symmetry   F-43m, No. 216
Final energy   -4.997 eV/atom
Energy relative to the elements   -247 meV/atom
Relative energy among the computed polymorphs   17.5 meV/atom

a b c (Å): 5.412 5.412 5.412
angles (deg): 60.00 60.00 60.00
Sites, in units of the cell vectors:
Ca 0.000 0.000 0.000
Pu 0.500 0.500 0.500
Tl 0.750 0.750 0.750
Hg 0.250 0.250 0.250


[4]
This record from Alexandria describes crystalline GaHg3I4 at its relaxed geometry. The functional is PBE.

Computed properties:
Symmetry   Pmn2_1, No. 31
E_form (uncorrected)   -0.2622 eV/atom
Final energy   -1.529 eV/atom

a b c (Å): 12.253 7.348 7.254
angles (deg): 90.00 90.00 90.00
Sites, in units of the cell vectors:
Ga 0.000 0.057 0.000
Ga 0.500 0.943 0.500
Hg 0.000 0.605 0.369
Hg 0.235 0.614 0.367
Hg 0.265 0.386 0.867
Hg 0.500 0.395 0.869
Hg 0.735 0.386 0.867
Hg 0.765 0.614 0.367
I 0.000 0.105 0.352
I 0.000 0.397 0.863
I 0.174 0.901 0.888
I 0.326 0.099 0.388
I 0.500 0.603 0.363
I 0.500 0.895 0.852
I 0.674 0.099 0.388
I 0.826 0.901 0.888


[5]
This record from Alexandria describes crystalline Ho2AgTe at its relaxed geometry. The functional is PBE.

Computed properties:
Symmetry   R3m, No. 160
E_form (uncorrected)   -0.6706 eV/atom
Final energy   -4.458 eV/atom
Relative energy among the computed polymorphs   107.0 meV/atom

a b c (Å): 7.864 7.864 7.864
angles (deg): 30.71 30.71 30.71
Sites, in units of the cell vectors:
Ho 0.000 0.000 0.000
Ho 0.180 0.180 0.180
Ag 0.591 0.591 0.591
Te 0.422 0.422 0.422


[6]
This record from Alexandria describes crystalline LaZrSe2Br at its relaxed geometry. The functional is PBE.

Computed properties:
Symmetry   P4/mmm, No. 123
E_form (uncorrected)   -1.1093 eV/atom
Final energy   -5.533 eV/atom

a b c (Å): 5.230 5.230 5.147
angles (deg): 90.00 90.00 90.00
Sites, in units of the cell vectors:
La 0.000 0.000 0.000
Zr 0.500 0.500 0.500
Se 0.000 0.500 0.500
Se 0.500 0.000 0.500
Br 0.500 0.500 0.000


[7]
This record from Alexandria describes crystalline MgSc3Hg5 at its relaxed geometry. The functional is PBE.

Computed properties:
Symmetry   P6_3/mcm, No. 193
Final energy   -2.785 eV/atom
Energy relative to the elements   -330 meV/atom

a b c (Å): 8.633 8.633 6.050
angles (deg): 90.00 90.00 120.00
Sites, in units of the cell vectors:
Mg 0.000 0.000 0.000
Mg 0.000 0.000 0.500
Sc 0.000 0.354 0.250
Sc 0.000 0.646 0.750
Sc 0.354 0.000 0.250
Sc 0.354 0.354 0.750
Sc 0.646 0.000 0.750
Sc 0.646 0.646 0.250
Hg 0.000 0.308 0.750
Hg 0.000 0.692 0.250
Hg 0.308 0.000 0.750
Hg 0.308 0.308 0.250
Hg 0.333 0.667 0.000
Hg 0.333 0.667 0.500
Hg 0.667 0.333 0.000
Hg 0.667 0.333 0.500
Hg 0.692 0.000 0.250
Hg 0.692 0.692 0.750


[8]
This record from Alexandria describes crystalline Dy3Ge3Os at its relaxed geometry. The functional is PBE.

Computed properties:
Symmetry   C2/m, No. 12
Final energy   -6.302 eV/atom
Energy relative to the elements   -746 meV/atom

a b c (Å): 5.803 5.803 13.847
angles (deg): 109.16 109.16 43.31
Sites, in units of the cell vectors:
Dy 0.021 0.021 0.376
Dy 0.100 0.100 0.920
Dy 0.241 0.241 0.231
Dy 0.759 0.759 0.769
Dy 0.900 0.900 0.080
Dy 0.979 0.979 0.624
Ge 0.365 0.365 0.456
Ge 0.378 0.378 0.926
Ge 0.457 0.457 0.761
Ge 0.543 0.543 0.239
Ge 0.622 0.622 0.074
Ge 0.635 0.635 0.544
Os 0.254 0.254 0.589
Os 0.746 0.746 0.411


[9]
This record from Alexandria describes crystalline K2Rb2Hg15 at its relaxed geometry. The functional is PBE.

Computed properties:
Symmetry   R-3m, No. 166
Final energy   -0.627 eV/atom
Energy relative to the elements   -172 meV/atom

a b c (Å): 8.650 8.650 8.650
angles (deg): 77.36 77.36 77.36
Sites, in units of the cell vectors:
K 0.099 0.099 0.099
K 0.901 0.901 0.901
Rb 0.339 0.339 0.339
Rb 0.661 0.661 0.661
Hg 0.000 0.000 0.500
Hg 0.000 0.298 0.702
Hg 0.000 0.500 0.000
Hg 0.000 0.702 0.298
Hg 0.150 0.627 0.627
Hg 0.298 0.000 0.702
Hg 0.298 0.702 0.000
Hg 0.373 0.373 0.850
Hg 0.373 0.850 0.373
Hg 0.500 0.000 0.000
Hg 0.627 0.150 0.627
Hg 0.627 0.627 0.150
Hg 0.702 0.000 0.298
Hg 0.702 0.298 0.000
Hg 0.850 0.373 0.373


[10]
This record from Alexandria describes crystalline GaNiPS2 at its relaxed geometry. The functional is PBE.

Computed properties:
Symmetry   P4/mmm, No. 123
E_form (uncorrected)   0.9859 eV/atom
Final energy   -3.509 eV/atom
Relative energy among the computed polymorphs   602.3 meV/atom

a b c (Å): 4.675 4.675 4.629
angles (deg): 90.00 90.00 90.00
Sites, in units of the cell vectors:
Ga 0.000 0.000 0.000
Ni 0.500 0.500 0.500
P 0.000 0.000 0.500
S 0.000 0.500 0.000
S 0.500 0.000 0.000


[11]
This record from Alexandria describes crystalline TiSiBi3 at its relaxed geometry. The functional is PBE.

Computed properties:
Symmetry   Pm-3m, No. 221
E_form (uncorrected)   0.6331 eV/atom
Final energy   -4.359 eV/atom
Relative energy among the computed polymorphs   0.0 meV/atom

a b c (Å): 5.382 5.382 5.382
angles (deg): 90.00 90.00 90.00
Sites, in units of the cell vectors:
Ti 0.000 0.000 0.000
Si 0.500 0.500 0.500
Bi 0.000 0.000 0.500
Bi 0.000 0.500 0.000
Bi 0.500 0.000 0.000


[12]
This record from Alexandria describes crystalline NbAlGa2 at its relaxed geometry. The functional is PBE.

Computed properties:
Symmetry   I-42d, No. 122
Final energy   -4.831 eV/atom
Energy relative to the elements   135 meV/atom

a b c (Å): 5.784 5.784 5.784
angles (deg): 102.68 102.68 124.13
Sites, in units of the cell vectors:
Nb 0.000 0.000 0.000
Nb 0.750 0.250 0.500
Al 0.250 0.750 0.500
Al 0.500 0.500 0.000
Ga 0.139 0.125 0.514
Ga 0.375 0.861 0.986
Ga 0.611 0.625 0.486
Ga 0.875 0.389 0.014